No. 1
## Th8SbTe4As3 (PBE-GGA)

Data for Th8SbTe4As3 after structural relaxation.

Structure (POSCAR):
```
Th8SbTe4As3
1.0
4.353 2.513 7.342
-4.353 2.513 7.342
0.000 -5.027 7.342
Th Sb Te As
8 1 4 3
Direct
0.227 0.750 0.750
0.239 0.239 0.239
0.250 0.250 0.773
0.250 0.773 0.250
0.750 0.227 0.750
0.750 0.750 0.227
0.761 0.761 0.761
0.773 0.250 0.250
0.500 0.500 0.500
0.000 0.000 0.000
0.000 0.500 0.500
0.500 0.000 0.500
0.500 0.500 0.000
0.000 0.000 0.500
0.000 0.500 0.000
0.500 0.000 0.000
```

Properties
The calculation puts the density at 9.3 g/cm³. For the formation energy from raw total energies, the calculation gives -1.174 eV/atom. For the electronic total energy, the calculation gives -6.798 eV/atom.

No. 2
## Th8Sb4Te3As (PBE-GGA)

Data for Th8Sb4Te3As after structural relaxation.

Structure (POSCAR):
```
Th8Sb4Te3As
1.0
7.660 -4.491 0.000
7.660 4.491 0.000
-5.028 0.000 7.305
Th Sb Te As
8 4 3 1
Direct
0.238 0.760 0.740
0.240 0.240 0.738
0.240 0.762 0.260
0.249 0.249 0.251
0.751 0.751 0.749
0.760 0.238 0.740
0.760 0.760 0.262
0.762 0.240 0.260
0.000 0.000 0.000
0.000 0.500 0.500
0.500 0.000 0.500
0.500 0.500 0.000
0.000 0.500 0.000
0.500 0.000 0.000
0.500 0.500 0.500
0.000 0.000 0.500
```

Properties
The calculation puts the density at 9.3 g/cm³. For the formation energy from raw total energies, the calculation gives -1.013 eV/atom. For the electronic total energy, the calculation gives -6.633 eV/atom.

No. 3
## Th8Sb3Te4As (PBE-GGA)

Data for Th8Sb3Te4As after structural relaxation.

Structure (POSCAR):
```
Th8Sb3Te4As
1.0
4.467 2.579 7.265
-4.467 2.579 7.265
0.000 -5.158 7.265
Th Sb Te As
8 3 4 1
Direct
0.249 0.249 0.249
0.261 0.737 0.737
0.263 0.263 0.739
0.263 0.739 0.263
0.737 0.261 0.737
0.737 0.737 0.261
0.739 0.263 0.263
0.751 0.751 0.751
0.000 0.000 0.500
0.000 0.500 0.000
0.500 0.000 0.000
0.000 0.000 0.000
0.000 0.500 0.500
0.500 0.000 0.500
0.500 0.500 0.000
0.500 0.500 0.500
```

Properties
The calculation puts the density at 9.3 g/cm³. For the formation energy from raw total energies, the calculation gives -1.037 eV/atom. For the electronic total energy, the calculation gives -6.596 eV/atom.

No. 4
## Th6SbTe3As2 (PBE-GGA)

Data for Th6SbTe3As2 after structural relaxation.

Structure (POSCAR):
```
Th6SbTe3As2
1.0
9.655 -2.189 0.000
9.655 2.189 0.000
-2.159 0.000 8.606
Th Sb Te As
6 1 3 2
Direct
0.013 0.013 0.255
0.327 0.327 0.434
0.332 0.332 0.891
0.668 0.668 0.109
0.673 0.673 0.566
0.987 0.987 0.745
0.500 0.500 0.000
0.161 0.161 0.832
0.500 0.500 0.500
0.839 0.839 0.168
0.170 0.170 0.336
0.830 0.830 0.664
```

Properties
The calculation puts the density at 9.3 g/cm³. For the formation energy from raw total energies, the calculation gives -1.147 eV/atom. For the electronic total energy, the calculation gives -6.760 eV/atom.

No. 5
## Th4Sb2TeAs (PBE-GGA)

Data for Th4Sb2TeAs after structural relaxation.

Structure (POSCAR):
```
Th4Sb2TeAs
1.0
7.649 0.000 0.000
0.000 4.425 0.000
-2.563 0.000 7.296
Th Sb Te As
4 2 1 1
Direct
0.232 0.000 0.231
0.241 0.500 0.762
0.759 0.500 0.238
0.768 0.000 0.769
0.500 0.000 0.000
0.500 0.500 0.500
0.000 0.000 0.500
0.000 0.500 0.000
```

Properties
The calculation puts the density at 9.2 g/cm³. For the formation energy from raw total energies, the calculation gives -1.052 eV/atom. For the electronic total energy, the calculation gives -6.766 eV/atom.

No. 6
## TiSbTe2As (PBE-GGA)

Data for TiSbTe2As after structural relaxation.

Structure (POSCAR):
```
TiSbTe2As
1.0
5.397 0.000 0.000
0.000 5.397 0.000
0.000 0.000 5.171
Ti Sb Te As
1 1 2 1
Direct
0.000 0.000 0.000
0.500 0.500 0.000
0.000 0.500 0.500
0.500 0.000 0.500
0.500 0.500 0.500
```

Properties
The calculation puts the density at 5.5 g/cm³. The value obtained for the distance to the lowest polymorph of the same formula is 433 meV per atom. For the formation energy from raw total energies, the calculation gives 0.772 eV/atom. For the electronic total energy, the calculation gives -3.818 eV/atom.

Which formula does entry 2 have? Th8Sb4Te3As

Number 2 is which compound? Th8Sb4Te3As